No. 1
This record from Alexandria via LeMat-Bulk describes a relaxed Cu4Pd2Pt crystal. The functional is PBE.

Geometry as POSCAR:
```
Cu4Pd2Pt
1.0
-3.2397 0.2225 -3.2612
3.1029 -1.2348 -3.1667
-1.4671 -6.5302 -2.2355
Cu Pd Pt
4 2 1
Direct
0.1949 0.1949 0.6102
0.8051 0.8051 0.3898
0.0000 0.5000 0.0000
0.5000 0.0000 0.0000
0.3914 0.3914 0.2172
0.6086 0.6086 0.7828
0.0000 0.0000 0.0000
```

Calculated values
- SG: I4/mmm
- Excess energy over the best structure of this formula in the dataset: 5.241 eV per formula unit

No. 2
This record from Alexandria via LeMat-Bulk describes a relaxed AcTb2PmSe6 crystal. The functional is PBE.

Geometry as POSCAR:
```
AcTb2PmSe6
1.0
-0.2938 -2.7653 -6.9229
0.1952 -7.3795 -1.0808
-6.5616 -3.6097 -2.3012
Ac Tb Pm Se
1 2 1 6
Direct
0.8053 0.8053 0.5839
0.5168 0.5167 0.4497
0.0119 0.0120 0.9641
0.3146 0.3146 0.0562
0.6218 0.2306 0.2435
0.2307 0.9041 0.2435
0.9042 0.6218 0.2435
0.3765 0.7304 0.7436
0.7303 0.1494 0.7437
0.1494 0.3766 0.7436
```

Calculated values
- Final energy: -5.79 eV per atom
- SG: R3

No. 3
This record from Alexandria via LeMat-Bulk describes a relaxed Dy7TmSc2 crystal. The functional is PBE.

Geometry as POSCAR:
```
Dy7TmSc2
1.0
5.5110 0.0000 0.0000
0.0000 8.7263 -0.2255
0.0000 -4.1381 7.6860
Dy Tm Sc
7 1 2
Direct
0.0000 0.7611 0.2389
0.0000 0.2389 0.7611
0.5000 0.0624 0.3004
0.5000 0.9376 0.6996
0.5000 0.3004 0.0624
0.5000 0.6996 0.9376
0.5000 0.5000 0.5000
0.0000 0.0000 0.0000
0.5000 0.7058 0.2942
0.5000 0.2942 0.7058
```

Calculated values
- Final energy: -4.28 eV per atom
- SG: Cmmm

No. 4
This record from Alexandria via LeMat-Bulk describes a relaxed Ce2YFe crystal. The functional is PBE.

Geometry as POSCAR:
```
Ce2YFe
1.0
3.6806 0.0000 0.0000
1.8403 3.1875 0.0000
1.8403 1.0625 8.8841
Y Fe Ce
1 1 2
Direct
0.5000 0.5000 0.5000
0.0000 0.0000 0.0000
0.2755 0.2755 0.1736
0.7245 0.7245 0.8264
```

Calculated values
- SG: R-3m
- Excess energy over the best structure of this formula in the dataset: 0.698 eV per formula unit

No. 5
This record from Alexandria via LeMat-Bulk describes a relaxed TbPr9Ho2 crystal. The functional is PBE.

Geometry as POSCAR:
```
TbPr9Ho2
1.0
5.1882 0.0000 0.0000
0.0000 5.1882 0.0000
0.0000 0.0000 15.5651
Tb Pr Ho
1 9 2
Direct
0.0000 0.0000 0.0000
0.5000 0.5000 0.0000
0.5000 0.5000 0.3338
0.5000 0.5000 0.6662
0.5000 0.0000 0.1672
0.5000 0.0000 0.5000
0.5000 0.0000 0.8328
0.0000 0.5000 0.1672
0.0000 0.5000 0.5000
0.0000 0.5000 0.8328
0.0000 0.0000 0.3337
0.0000 0.0000 0.6663
```

Calculated values
- Final energy: -4.72 eV per atom
- SG: P4/mmm

No. 6
This record from Alexandria via LeMat-Bulk describes a relaxed HoMgSnPb crystal. The functional is PBE.

Geometry as POSCAR:
```
HoMgSnPb
1.0
5.3104 0.0000 0.0000
2.6552 4.5990 0.0000
2.6552 1.5330 4.3360
Pb Mg Ho Sn
1 1 1 1
Direct
0.7500 0.7500 0.7500
0.5000 0.5000 0.5000
0.0000 0.0000 0.0000
0.2500 0.2500 0.2500
```

Calculated values
- SG: F-43m
- Excess energy over the best structure of this formula in the dataset: 0.565 eV per formula unit

No. 7
This record from Alexandria via LeMat-Bulk describes a relaxed Cs2TlIBr6 crystal. The functional is PBE.

Geometry as POSCAR:
```
Cs2TlIBr6
1.0
8.0875 0.0000 0.0000
0.0000 8.0875 0.0000
4.0438 4.0438 6.8090
Cs I Tl Br
2 1 1 6
Direct
0.7500 0.2500 0.5000
0.2500 0.7500 0.5000
0.5000 0.5000 0.0000
0.0000 0.0000 0.0000
0.2206 0.2206 0.5588
0.7794 0.7794 0.4412
0.2570 0.2570 0.0000
0.7430 0.7430 0.0000
0.7430 0.2570 0.0000
0.2570 0.7430 0.0000
```

Calculated values
- Final energy: -2.44 eV per atom
- SG: I4/mmm

No. 8
This record from Alexandria via LeMat-Bulk describes a relaxed KAg2MoS4 crystal. The functional is PBE.

Geometry as POSCAR:
```
KAg2MoS4
1.0
-1.7464 -3.7051 5.2470
1.6142 -5.5168 -3.3568
4.3229 4.8793 0.6610
K Ag Mo S
1 2 1 4
Direct
0.0000 0.0000 0.9999
0.7500 0.2499 0.5000
0.2499 0.7500 0.5000
0.5001 0.5001 0.0001
0.5499 0.5499 0.7127
0.4502 0.8372 0.2874
0.8372 0.4502 0.2874
0.1630 0.1630 0.7130
```

Calculated values
- Final energy: -4.74 eV per atom
- SG: I-42m

No. 9
This record from Alexandria via LeMat-Bulk describes a relaxed LaRu4 crystal. The functional is PBE.

Geometry as POSCAR:
```
LaRu4
1.0
-2.1290 -5.4177 1.9531
-4.0259 -0.5258 4.6059
0.8581 3.1520 -5.1988
La Ru
1 4
Direct
0.0000 0.0000 0.0000
0.2500 0.7500 0.5000
0.6099 0.6099 0.0000
0.3901 0.3901 0.0000
0.7500 0.2500 0.5000
```

Calculated values
- SG: I4/mmm
- Excess energy over the best structure of this formula in the dataset: 0.000 eV per formula unit

No. 10
This record from Alexandria via LeMat-Bulk describes a relaxed PmSm3Th3 crystal. The functional is PBE.

Geometry as POSCAR:
```
PmSm3Th3
1.0
-5.0758 -0.8847 -2.9121
4.5759 -5.6252 -6.2670
-3.8737 -3.7920 7.9039
Pm Sm Th
2 6 6
Direct
0.2500 0.3333 0.6667
0.7500 0.6667 0.3333
0.7500 0.8017 0.7584
0.7500 0.9567 0.1983
0.2500 0.7584 0.9567
0.7500 0.2416 0.0433
0.2500 0.0433 0.8017
0.2500 0.1983 0.2416
0.7500 0.5122 0.8973
0.7500 0.3851 0.4878
0.2500 0.8973 0.3851
0.7500 0.1027 0.6149
0.2500 0.6149 0.5122
0.2500 0.4878 0.1027
```

Calculated values
- Final energy: -5.81 eV per atom
- SG: P6_3/m

No. 11
This record from Alexandria via LeMat-Bulk describes a relaxed HfSb2Pd4 crystal. The functional is PBE.

Geometry as POSCAR:
```
HfSb2Pd4
1.0
4.1345 0.0000 0.0000
0.0000 4.1345 0.0000
0.0000 0.0000 7.7733
Hf Sb Pd
1 2 4
Direct
0.5000 0.5000 0.0000
0.0000 0.0000 0.0000
0.5000 0.5000 0.5000
0.5000 0.0000 0.2680
0.0000 0.5000 0.7320
0.5000 0.0000 0.7320
0.0000 0.5000 0.2680
```

Calculated values
- SG: P4/mmm
- Excess energy over the best structure of this formula in the dataset: 0.000 eV per formula unit

No. 12
This record from Alexandria via LeMat-Bulk describes a relaxed CsNa2InAs crystal. The functional is PBE.

Geometry as POSCAR:
```
CsNa2InAs
1.0
5.7232 0.0000 0.0000
0.0000 5.7232 0.0000
0.0000 0.0000 5.9607
Cs Na As In
1 2 1 1
Direct
0.5000 0.5000 0.5000
0.0000 0.5000 0.0000
0.5000 0.0000 0.0000
0.0000 0.0000 0.0000
0.0000 0.0000 0.5000
```

Calculated values
- Final energy: -2.28 eV per atom
- SG: P4/mmm

No. 13
This record from Alexandria via LeMat-Bulk describes a relaxed Sr2LiCa crystal. The functional is PBE.

Geometry as POSCAR:
```
Sr2LiCa
1.0
9.7550 0.0000 0.0000
0.0000 9.7550 0.0000
4.8775 4.8775 3.7119
Sr Ca Li
4 2 2
Direct
0.5754 0.1250 0.2500
0.1746 0.6250 0.2500
0.3750 0.4246 0.7500
0.8750 0.8254 0.7500
0.0000 0.0000 0.0000
0.7500 0.2500 0.5000
0.5000 0.5000 0.0000
0.2500 0.7500 0.5000
```

Calculated values
- SG: I-42d
- Excess energy over the best structure of this formula in the dataset: 0.719 eV per formula unit

No. 14
This record from Alexandria via LeMat-Bulk describes a relaxed SrRe2Sb crystal. The functional is PBE.

Geometry as POSCAR:
```
SrRe2Sb
1.0
5.3270 0.0236 0.0910
-2.6269 5.5736 -0.0431
0.0731 0.7070 2.7224
Re Sb Sr
2 1 1
Direct
0.0000 0.0000 0.0000
0.5000 0.0000 0.5000
0.0000 0.5000 0.5000
0.5000 0.5000 0.0000
```

Calculated values
- Final energy: -6.64 eV per atom
- SG: C2/m

No. 15
This record from Alexandria via LeMat-Bulk describes a relaxed AcMg2CdHg4 crystal. The functional is PBE.

Geometry as POSCAR:
```
AcMg2CdHg4
1.0
-2.7901 1.4069 3.7551
-1.7044 -3.3180 3.1544
6.5559 0.5073 7.8586
Ac Mg Cd Hg
1 2 1 4
Direct
0.0000 0.0000 0.0000
0.7627 0.7627 0.7118
0.2373 0.2373 0.2882
0.5000 0.5000 0.5000
0.3938 0.3938 0.8185
0.8763 0.8763 0.3711
0.1237 0.1237 0.6289
0.6062 0.6062 0.1815
```

Calculated values
- Final energy: -1.46 eV per atom
- SG: R-3m

No. 16
This record from Alexandria via LeMat-Bulk describes a relaxed Y2Zn5Ru2Au crystal. The functional is PBE.

Geometry as POSCAR:
```
Y2Zn5Ru2Au
1.0
-2.9558 -0.3955 2.5460
4.7828 -6.9830 4.4678
4.0834 6.4733 5.7463
Y Zn Ru Au
4 10 4 2
Direct
0.0000 0.6764 0.1764
0.0000 0.3236 0.8236
0.0000 0.1764 0.3236
0.0000 0.8236 0.6764
0.5000 0.2015 0.0581
0.5000 0.7985 0.9419
0.5000 0.0581 0.7985
0.5000 0.7015 0.4419
0.5000 0.9419 0.2015
0.5000 0.2985 0.5581
0.5000 0.5581 0.7015
0.5000 0.4419 0.2985
0.5000 0.5000 0.0000
0.5000 0.0000 0.5000
0.0000 0.1241 0.6241
0.0000 0.8759 0.3759
0.0000 0.6241 0.8759
0.0000 0.3759 0.1241
0.0000 0.0000 0.0000
0.0000 0.5000 0.5000
```

Calculated values
- Final energy: -4.34 eV per atom
- SG: P4/mbm

No. 17
This record from Alexandria via LeMat-Bulk describes a relaxed Y2ZrIn crystal. The functional is PBE.

Geometry as POSCAR:
```
Y2ZrIn
1.0
-2.8726 -1.5278 1.2607
1.8353 -1.2173 2.7065
-1.9080 7.4021 4.6230
Y Zr In
2 1 1
Direct
0.0000 0.0000 0.9936
0.0000 0.0000 0.5064
0.5000 0.5000 0.2500
0.5000 0.5000 0.7500
```

Calculated values
- SG: P4/mmm
- Excess energy over the best structure of this formula in the dataset: 0.000 eV per formula unit

No. 18
This record from Alexandria via LeMat-Bulk describes a relaxed MgTl2Os crystal. The functional is PBE.

Geometry as POSCAR:
```
MgTl2Os
1.0
-4.2742 -8.6383 3.6219
4.9391 1.3042 8.9393
-1.6567 -2.3053 7.1810
Tl Os Mg
4 2 2
Direct
0.8751 0.1250 0.2500
0.8749 0.6250 0.2500
0.3750 0.1249 0.7500
0.8750 0.1251 0.7500
0.0000 0.0000 0.0000
0.7500 0.2500 0.5000
0.5000 0.5000 0.0000
0.2500 0.7500 0.5000
```

Calculated values
- SG: I4_1/amd
- Excess energy over the best structure of this formula in the dataset: 0.375 eV per formula unit

No. 19
This record from Alexandria via LeMat-Bulk describes a relaxed AcPuInBi crystal. The functional is PBE.

Geometry as POSCAR:
```
AcPuInBi
1.0
-2.2414 5.0651 1.2217
-5.0396 0.3228 2.5828
-0.3180 1.7349 5.3908
Ac In Bi Pu
1 1 1 1
Direct
0.5000 0.5000 0.5000
0.2500 0.2500 0.2500
0.7500 0.7500 0.7500
0.0000 0.0000 0.0000
```

Calculated values
- Final energy: -6.56 eV per atom
- SG: F-43m

No. 20
This record from Alexandria via LeMat-Bulk describes a relaxed Rb3MoAu crystal. The functional is PBE.

Geometry as POSCAR:
```
Rb3MoAu
1.0
6.6131 0.0000 0.0000
0.0000 6.6131 0.0000
0.0000 0.0000 6.6131
Mo Au Rb
1 1 3
Direct
0.5000 0.5000 0.5000
0.0000 0.0000 0.0000
0.0000 0.5000 0.0000
0.0000 0.0000 0.5000
0.5000 0.0000 0.0000
```

Calculated values
- SG: Pm-3m
- Excess energy over the best structure of this formula in the dataset: 0.000 eV per formula unit

No. 21
This record from Alexandria via LeMat-Bulk describes a relaxed Cd3Ga5H12 crystal. The functional is PBE.

Geometry as POSCAR:
```
Cd3Ga5H12
1.0
-9.2787 5.7122 -4.0106
-1.0664 -11.3038 -2.4282
0.7565 1.4343 11.4969
Cd Ga H
12 20 48
Direct
0.7500 0.3750 0.1250
0.8750 0.7500 0.1250
0.3750 0.7500 0.6250
0.2500 0.1250 0.3750
0.8750 0.1250 0.2500
0.3750 0.6250 0.2500
0.6250 0.3750 0.7500
0.1250 0.8750 0.7500
0.7500 0.8750 0.6250
0.6250 0.2500 0.3750
0.1250 0.2500 0.8750
0.2500 0.6250 0.8750
0.1250 0.3750 0.2500
0.0000 0.5000 0.0000
0.0000 0.0000 0.0000
0.3750 0.2500 0.1250
0.5000 0.0000 0.5000
0.5000 0.5000 0.0000
0.1250 0.7500 0.3750
0.7500 0.1250 0.8750
0.7500 0.6250 0.3750
0.3750 0.1250 0.7500
0.6250 0.8750 0.2500
0.5000 0.5000 0.5000
0.5000 0.0000 0.0000
0.0000 0.0000 0.5000
0.2500 0.3750 0.6250
0.2500 0.8750 0.1250
0.0000 0.5000 0.5000
0.8750 0.2500 0.6250
0.6250 0.7500 0.8750
0.8750 0.6250 0.7500
0.6678 0.0988 0.9611
0.2933 0.4611 0.3623
0.0389 0.4012 0.3322
0.4611 0.1678 0.0988
0.5690 0.6678 0.7067
0.0389 0.6377 0.2067
0.2933 0.8322 0.4310
0.1377 0.9310 0.0988
0.6377 0.0389 0.7067
0.6678 0.5690 0.2067
0.8322 0.5389 0.4012
0.7933 0.8623 0.9611
0.0988 0.6678 0.4611
0.4012 0.3623 0.0690
0.0690 0.8623 0.4012
0.4310 0.0988 0.6377
0.0690 0.2067 0.1678
0.5389 0.7067 0.1377
0.7933 0.9310 0.3322
0.0988 0.4310 0.1377
0.4012 0.0389 0.8322
0.6377 0.5988 0.4310
0.8623 0.7933 0.4611
0.8322 0.2933 0.9310
0.3623 0.4012 0.5690
0.1377 0.2067 0.5389
0.1678 0.7067 0.0690
0.2067 0.0690 0.6678
0.5988 0.9611 0.1678
0.9012 0.5690 0.8623
0.4611 0.2933 0.8623
0.5690 0.9012 0.3623
0.9310 0.7933 0.8322
0.9310 0.1377 0.5988
0.9012 0.3322 0.5389
0.2067 0.1377 0.0389
0.5988 0.6377 0.9310
0.3623 0.9611 0.2933
0.3322 0.4310 0.7933
0.1678 0.4611 0.5988
0.8623 0.0690 0.9012
0.7067 0.1678 0.5690
0.5389 0.8322 0.9012
0.9611 0.3623 0.7933
0.4310 0.3322 0.2933
0.9611 0.5988 0.6678
0.7067 0.5389 0.6377
0.3322 0.9012 0.0389
```

Calculated values
- Final energy: -2.61 eV per atom
- SG: Ia-3d

Number 1: density of states at the Fermi level 5.911 states/eV/f.u.. Number 2: density of states at the Fermi level 0.000 states/eV/f.u.. Number 3: density of states at the Fermi level 13.793 states/eV/f.u.. Number 4: density of states at the Fermi level 8.306 states/eV/f.u.. Number 5: density of states at the Fermi level 20.151 states/eV/f.u.. Number 6: density of states at the Fermi level 2.283 states/eV/f.u.. Number 7: density of states at the Fermi level 0.316 states/eV/f.u.. Number 8: density of states at the Fermi level 3.174 states/eV/f.u.. Number 9: density of states at the Fermi level 6.862 states/eV/f.u.. Number 10: density of states at the Fermi level 11.987 states/eV/f.u.. Number 11: density of states at the Fermi level 2.972 states/eV/f.u.. Number 12: density of states at the Fermi level 2.552 states/eV/f.u.. Number 13: density of states at the Fermi level 4.840 states/eV/f.u.. Number 14: density of states at the Fermi level 3.963 states/eV/f.u.. Number 15: density of states at the Fermi level 3.651 states/eV/f.u.. Number 16: density of states at the Fermi level 6.729 states/eV/f.u.. Number 17: density of states at the Fermi level 4.050 states/eV/f.u.. Number 18: density of states at the Fermi level 2.336 states/eV/f.u.. Number 19: density of states at the Fermi level 13.928 states/eV/f.u.. Number 20: density of states at the Fermi level 3.394 states/eV/f.u.. Number 21: density of states at the Fermi level 4.611 states/eV/f.u..